Dy5Cd2OsRh2 | PBE | optimized geometry

Calculated values
The value obtained for the raw total energy is -110.67 eV/cell. The calculation puts the spin magnetization at 0.0 μB/f.u. The space group is P4/mbm, No. 127. The density of states at the Fermi level comes out at 0.52 states/eV per atom. Its volume is 23.66 Å³/atom.

a = 11.5683 Å, b = 11.5683 Å, c = 3.5363 Å
α = 90.00°, β = 90.00°, γ = 90.00°
Atoms (fractional coordinates):
Dy 0.0000 0.5000 0.0000
Dy 0.0663 0.1941 0.0000
Dy 0.1941 0.9337 0.0000
Dy 0.3059 0.4337 0.0000
Dy 0.4337 0.6941 0.0000
Dy 0.5000 0.0000 0.0000
Dy 0.5663 0.3059 0.0000
Dy 0.6941 0.5663 0.0000
Dy 0.8059 0.0663 0.0000
Dy 0.9337 0.8059 0.0000
Cd 0.1789 0.6789 0.5000
Cd 0.3211 0.1789 0.5000
Cd 0.6789 0.8211 0.5000
Cd 0.8211 0.3211 0.5000
Os 0.0000 0.0000 0.5000
Os 0.5000 0.5000 0.5000
Rh 0.1318 0.3682 0.5000
Rh 0.3682 0.8682 0.5000
Rh 0.6318 0.1318 0.5000
Rh 0.8682 0.6318 0.5000

=====

SmDyCdOs | PBE | optimized geometry

Calculated values
The distance to the lowest polymorph of the same formula comes out at 0.092 eV per atom. The value obtained for the raw total energy is -22.10 eV/cell. The calculation puts the spin magnetization at 0.0 μB/f.u. The space group is F-43m, No. 216. The density of states at the Fermi level comes out at 0.81 states/eV per atom. Its volume is 23.00 Å³/atom.

a = 5.0669 Å, b = 5.0669 Å, c = 5.0669 Å
α = 60.00°, β = 60.00°, γ = 60.00°
Atoms (fractional coordinates):
Sm 0.0000 0.0000 0.0000
Dy 0.5000 0.5000 0.5000
Cd 0.7500 0.7500 0.7500
Os 0.2500 0.2500 0.2500

=====

SmDyCdOs | PBE | optimized geometry

Calculated values
The distance to the lowest polymorph of the same formula comes out at 0.000 eV per atom. The value obtained for the raw total energy is -22.46 eV/cell. The calculation puts the spin magnetization at 0.0 μB/f.u. The space group is P4mm, No. 99. The density of states at the Fermi level comes out at 0.72 states/eV per atom. Its volume is 23.86 Å³/atom.

a = 3.4766 Å, b = 3.4766 Å, c = 7.8966 Å
α = 90.00°, β = 90.00°, γ = 90.00°
Atoms (fractional coordinates):
Sm 0.0000 0.0000 0.0000
Dy 0.0000 0.0000 0.5742
Cd 0.5000 0.5000 0.2957
Os 0.5000 0.5000 0.7806

=====

One value per record, in order, for ΔE_f: -0.456 -0.157 -0.249 eV/atom.